#a
Density functional theory data (GGA-PBE) for a relaxed structure of LaY3Er.

a = 5.529 Å, b = 10.529 Å, c = 11.829 Å
α = 90.00°, β = 90.00°, γ = 90.00°
Element x y z (fractional)
1 La 0.499 0.750 0.448
2 La 0.999 0.250 0.052
3 La 0.501 0.250 0.552
4 La 0.001 0.750 0.948
5 Y 0.999 0.063 0.809
6 Y 0.499 0.563 0.691
7 Y 0.499 0.937 0.691
8 Y 0.001 0.563 0.191
9 Y 0.001 0.937 0.191
10 Y 0.501 0.437 0.309
11 Y 0.501 0.063 0.309
12 Y 0.999 0.437 0.809
13 Y 0.501 0.750 0.170
14 Y 0.001 0.250 0.330
15 Y 0.499 0.250 0.830
16 Y 0.999 0.750 0.670
17 Er 0.500 0.000 0.000
18 Er 0.000 0.500 0.500
19 Er 0.000 0.000 0.500
20 Er 0.500 0.500 0.000

## Properties
Magnetization = 0.00 Bohr magnetons per cell

#b
Density functional theory data (GGA-PBE) for a relaxed structure of LaY3Er.

a = 3.598 Å, b = 6.220 Å, c = 15.655 Å
α = 97.53°, β = 96.59°, γ = 106.78°
Element x y z (fractional)
1 La 0.203 0.753 0.652
2 La 0.797 0.247 0.348
3 Y 0.401 0.249 0.552
4 Y 0.600 0.249 0.951
5 Y 0.201 0.253 0.149
6 Y 0.599 0.751 0.448
7 Y 0.799 0.747 0.851
8 Y 0.400 0.751 0.049
9 Er 0.002 0.251 0.752
10 Er 0.998 0.749 0.248

## Properties
Magnetization = 0.00 Bohr magnetons per cell

Most stable one: #b, least stable one: #a.

#a
Density functional theory data (GGA-PBE) for a relaxed structure of La3YEr7.

a = 8.908 Å, b = 10.160 Å, c = 5.522 Å
α = 90.03°, β = 128.26°, γ = 106.47°
Element x y z (fractional)
1 La 0.213 0.996 0.714
2 La 0.000 0.500 0.000
3 La 0.787 0.004 0.286
4 Y 0.500 0.500 0.500
5 Er 0.905 0.829 0.905
6 Er 0.812 0.636 0.313
7 Er 0.642 0.290 0.142
8 Er 0.358 0.710 0.858
9 Er 0.500 0.000 0.500
10 Er 0.188 0.364 0.687
11 Er 0.095 0.171 0.095

## Properties
Magnetization = 0.00 Bohr magnetons per cell

#b
Density functional theory data (GGA-PBE) for a relaxed structure of La3YEr7.

a = 5.853 Å, b = 8.459 Å, c = 8.459 Å
α = 82.88°, β = 110.19°, γ = 110.19°
Element x y z (fractional)
1 La 0.000 0.784 0.216
2 La 0.500 0.000 0.000
3 La 0.000 0.216 0.784
4 Y 0.500 0.500 0.500
5 Er 0.206 0.207 0.207
6 Er 0.292 0.988 0.595
7 Er 0.708 0.405 0.012
8 Er 0.292 0.595 0.988
9 Er 0.000 0.500 0.500
10 Er 0.708 0.012 0.405
11 Er 0.794 0.793 0.793

## Properties
Magnetization = 0.28 Bohr magnetons per cell

Most stable one: #a, least stable one: #b.

#a
Density functional theory data (GGA-PBE) for a relaxed structure of La12Y5Er2.

a = 5.304 Å, b = 13.528 Å, c = 13.528 Å
α = 45.99°, β = 78.71°, γ = 78.71°
Element x y z (fractional)
1 La 0.102 0.898 0.898
2 La 0.195 0.549 0.062
3 La 0.195 0.062 0.549
4 La 0.593 0.650 0.165
5 La 0.593 0.165 0.650
6 La 0.085 0.415 0.415
7 La 0.915 0.585 0.585
8 La 0.407 0.350 0.835
9 La 0.407 0.835 0.350
10 La 0.805 0.451 0.938
11 La 0.805 0.938 0.451
12 La 0.898 0.102 0.102
13 Y 0.301 0.199 0.199
14 Y 0.699 0.301 0.301
15 Y 0.500 0.000 0.000
16 Y 0.301 0.699 0.699
17 Y 0.699 0.801 0.801
18 Er 0.000 0.218 0.782
19 Er 0.000 0.782 0.218

## Properties
Magnetization = 0.00 Bohr magnetons per cell

#b
Density functional theory data (GGA-PBE) for a relaxed structure of La12Y5Er2.

a = 7.632 Å, b = 11.000 Å, c = 10.096 Å
α = 59.42°, β = 90.00°, γ = 110.30°
Element x y z (fractional)
1 La 0.998 0.997 0.208
2 La 0.068 0.671 0.835
3 La 0.603 0.671 0.835
4 La 0.089 0.678 0.478
5 La 0.589 0.678 0.478
6 La 0.485 0.969 0.685
7 La 0.515 0.031 0.315
8 La 0.911 0.322 0.522
9 La 0.411 0.322 0.522
10 La 0.932 0.329 0.165
11 La 0.397 0.329 0.165
12 La 0.002 0.003 0.792
13 Y 0.173 0.345 0.822
14 Y 0.323 0.646 0.164
15 Y 0.000 0.000 0.500
16 Y 0.677 0.354 0.836
17 Y 0.827 0.655 0.178
18 Er 0.699 0.000 0.000
19 Er 0.301 0.000 0.000

## Properties
Magnetization = 0.00 Bohr magnetons per cell

Most stable one: #a, least stable one: #b.

#a
Density functional theory data (GGA-PBE) for a relaxed structure of La2Y3Er2.

a = 5.575 Å, b = 3.540 Å, c = 12.223 Å
α = 98.33°, β = 103.18°, γ = 90.00°
Element x y z (fractional)
1 La 0.570 0.570 0.140
2 La 0.430 0.430 0.860
3 Y 0.000 0.000 0.000
4 Y 0.710 0.210 0.421
5 Y 0.290 0.790 0.579
6 Er 0.145 0.645 0.290
7 Er 0.855 0.355 0.710

## Properties
Magnetization = 0.00 Bohr magnetons per cell

#b
Density functional theory data (GGA-PBE) for a relaxed structure of La2Y3Er2.

a = 5.469 Å, b = 8.959 Å, c = 5.636 Å
α = 71.56°, β = 89.98°, γ = 107.42°
Element x y z (fractional)
1 La 0.891 0.790 0.605
2 La 0.109 0.210 0.395
3 Y 0.000 0.000 0.000
4 Y 0.761 0.520 0.241
5 Y 0.239 0.480 0.759
6 Er 0.612 0.225 0.890
7 Er 0.388 0.775 0.110

## Properties
Magnetization = 0.00 Bohr magnetons per cell

Most stable one: #a, least stable one: #b.